Entry 1:
Here is a relaxed In2SbH crystal from Alexandria. Energies are from PBE.

abc: 5.163 5.163 8.243
angles: 71.75 71.75 90.00
Positions (direct):
1 In 0.375 0.479 0.750
2 Sb 0.750 0.250 0.500
3 H 0.250 0.750 0.500
4 In 0.521 0.125 0.250
5 In 0.229 0.625 0.250
6 In 0.875 0.771 0.750
7 H 0.500 0.500 0.000
8 Sb 0.000 0.000 0.000

* symmetry: I-42d, No. 122
* crystal system: tetragonal

---

Entry 2:
Here is a relaxed Zr2BeAl crystal from Alexandria. Energies are from PBE.

abc: 4.675 4.675 4.675
angles: 60.00 60.00 60.00
Positions (direct):
1 Al 0.500 0.500 0.500
2 Zr 0.250 0.250 0.250
3 Zr 0.000 0.000 0.000
4 Be 0.750 0.750 0.750

* symmetry: F-43m, No. 216
* crystal system: cubic

---

Entry 3:
Here is a relaxed CePm2Lu crystal from Alexandria. Energies are from PBE.

abc: 5.706 5.706 5.706
angles: 60.00 60.00 60.00
Positions (direct):
1 Lu 0.000 0.000 0.000
2 Pm 0.750 0.750 0.750
3 Pm 0.250 0.250 0.250
4 Ce 0.500 0.500 0.500

* symmetry: Fm-3m, No. 225
* crystal system: cubic

---

Entry 4:
Here is a relaxed Sc2BTe crystal from Alexandria. Energies are from PBE.

abc: 8.438 8.438 8.438
angles: 24.94 24.94 24.94
Positions (direct):
1 Sc 0.881 0.881 0.881
2 B 0.500 0.500 0.500
3 Sc 0.119 0.119 0.119
4 Te 0.000 0.000 0.000

* symmetry: R-3m, No. 166
* crystal system: trigonal
* ΔE_f (raw): -0.292 eV/atom

---

Entry 5:
Here is a relaxed La3HoTl3 crystal from Alexandria. Energies are from PBE.

abc: 6.984 6.984 9.841
angles: 91.34 91.34 104.57
Positions (direct):
1 La 0.178 0.822 0.500
2 Tl 0.474 0.060 0.265
3 Tl 0.060 0.474 0.265
4 Ho 0.725 0.725 0.954
5 La 0.822 0.178 0.500
6 Ho 0.275 0.275 0.046
7 Tl 0.940 0.526 0.735
8 La 0.245 0.755 0.000
9 La 0.755 0.245 0.000
10 Tl 0.032 0.032 0.775
11 La 0.405 0.405 0.682
12 La 0.595 0.595 0.318
13 Tl 0.526 0.940 0.735
14 Tl 0.968 0.968 0.225

* symmetry: C2/m, No. 12
* crystal system: monoclinic

---

Entry 6:
Here is a relaxed Y2UGe3Ir4 crystal from Alexandria. Energies are from PBE.

abc: 4.205 4.205 11.005
angles: 90.00 90.00 90.00
Positions (direct):
1 Y 0.000 0.500 0.777
2 U 0.500 0.500 0.500
3 Ir 0.000 0.000 0.000
4 Ir 0.000 0.500 0.348
5 Ir 0.500 0.500 0.000
6 Y 0.500 0.000 0.223
7 Ge 0.000 0.500 0.125
8 Ge 0.000 0.000 0.500
9 Ir 0.500 0.000 0.652
10 Ge 0.500 0.000 0.875

* symmetry: P-4m2, No. 115
* crystal system: tetragonal

---

Entry 7:
Here is a relaxed YTm2Zr3N6 crystal from Alexandria. Energies are from PBE.

abc: 5.756 5.756 5.803
angles: 99.56 99.56 119.91
Positions (direct):
1 Tm 0.667 0.333 0.000
2 Y 0.000 0.000 0.000
3 N 0.575 0.912 0.738
4 N 0.250 0.250 0.737
5 Zr 0.167 0.833 0.500
6 Zr 0.833 0.167 0.500
7 Zr 0.500 0.500 0.500
8 N 0.088 0.425 0.262
9 Tm 0.333 0.667 0.000
10 N 0.912 0.575 0.738
11 N 0.750 0.750 0.263
12 N 0.425 0.088 0.262

* symmetry: C2/m, No. 12
* crystal system: monoclinic
* ΔE_f (raw): -1.762 eV/atom

---

| no. | calculated total energy (eV for the cell shown) |
| --- | --- |
| 1 | -23.97 |
| 2 | -23.38 |
| 3 | -19.18 |
| 4 | -23.65 |
| 5 | -56.25 |
| 6 | -80.45 |
| 7 | -112.14 |